Pm6Te3Ir2I: optimized geometry, GGA-PBE.

a = 4.274 Å, b = 9.110 Å, c = 9.920 Å
α = 104.68°, β = 102.44°, γ = 90.00°
Element x y z (fractional)
Pm: 0.977 0.724 0.954
Pm: 0.023 0.276 0.046
Pm: 0.676 0.566 0.352
Pm: 0.324 0.434 0.648
Pm: 0.320 0.862 0.640
Pm: 0.680 0.138 0.360
Te: 0.154 0.846 0.308
Te: 0.500 0.500 0.000
Te: 0.846 0.154 0.692
Ir: 0.171 0.343 0.342
Ir: 0.829 0.657 0.658
I: 0.500 0.000 0.000

Summary:
total DFT energy (no corrections)	-70.484	eV for the cell shown
ΔE_f (raw)	-1.107	eV per atom
calculated density	8042	kg/m³
volume	364	Å³ per cell

NbCdSb: optimized geometry, GGA-PBE.

a = 3.587 Å, b = 3.587 Å, c = 9.890 Å
α = 90.00°, β = 90.00°, γ = 90.00°
Element x y z (fractional)
Sb: 0.500 0.000 0.401
Sb: 0.000 0.500 0.599
Nb: 0.000 0.500 0.276
Nb: 0.500 0.000 0.724
Cd: 0.000 0.500 0.915
Cd: 0.500 0.000 0.085

Summary:
total DFT energy (no corrections)	-29.904	eV for the cell shown
ΔE_f (raw)	0.052	eV per atom
calculated density	8536	kg/m³
volume	127	Å³ per cell

Na2InSbAu6: optimized geometry, GGA-PBE.

a = 7.468 Å, b = 7.468 Å, c = 7.468 Å
α = 60.00°, β = 60.00°, γ = 90.00°
Element x y z (fractional)
In: 0.500 0.500 0.000
Na: 0.750 0.250 0.500
Na: 0.250 0.750 0.500
Au: 0.750 0.250 0.000
Au: 0.250 0.250 0.499
Au: 0.250 0.750 0.000
Au: 0.750 0.750 0.501
Au: 0.750 0.750 0.000
Au: 0.250 0.250 0.000
Sb: 0.000 0.000 0.000

Summary:
total DFT energy (no corrections)	-28.672	eV for the cell shown
ΔE_f (raw)	0.049	eV per atom
calculated density	8255	kg/m³
volume	295	Å³ per cell

Er2HfPaN4: optimized geometry, GGA-PBE.

a = 3.384 Å, b = 5.870 Å, c = 5.865 Å
α = 109.03°, β = 90.00°, γ = 90.00°
Element x y z (fractional)
Hf: 0.000 0.000 0.000
N: 0.000 0.242 0.760
N: 0.000 0.758 0.240
N: 0.500 0.762 0.770
N: 0.500 0.238 0.230
Pa: 0.500 0.500 0.000
Er: 0.500 0.000 0.500
Er: 0.000 0.500 0.500

Summary:
total DFT energy (no corrections)	-75.707	eV for the cell shown
ΔE_f (raw)	-1.729	eV per atom
calculated density	12063	kg/m³
volume	110	Å³ per cell

Ho5ErIr4: optimized geometry, GGA-PBE.

a = 4.246 Å, b = 7.289 Å, c = 9.231 Å
α = 113.44°, β = 103.30°, γ = 90.00°
Element x y z (fractional)
Ir: 0.699 0.199 0.399
Ir: 0.000 0.745 0.000
Ir: 0.000 0.255 0.000
Ir: 0.301 0.801 0.601
Ho: 0.166 0.922 0.331
Ho: 0.834 0.078 0.669
Ho: 0.166 0.409 0.331
Ho: 0.834 0.591 0.669
Ho: 0.500 0.500 0.000
Er: 0.500 0.000 0.000

Summary:
total DFT energy (no corrections)	-69.687	eV for the cell shown
calculated formation energy	-0.6791	eV per atom
calculated density	11521	kg/m³
volume	254	Å³ per cell

La2PmP: optimized geometry, GGA-PBE.

a = 3.925 Å, b = 3.925 Å, c = 10.683 Å
α = 79.41°, β = 79.41°, γ = 60.00°
Element x y z (fractional)
La: 0.888 0.888 0.335
La: 0.112 0.112 0.665
Pm: 0.000 0.000 0.000
P: 0.500 0.500 0.500

Summary:
total DFT energy (no corrections)	-22.152	eV for the cell shown
energy relative to the lowest polymorph listed for this composition	132	meV per atom
calculated formation energy	-0.5341	eV per atom
calculated density	5411	kg/m³
volume	139	Å³ per cell

LiCa2Mo: optimized geometry, GGA-PBE.

a = 11.048 Å, b = 11.048 Å, c = 11.048 Å
α = 17.09°, β = 17.09°, γ = 17.09°
Element x y z (fractional)
Ca: 0.491 0.491 0.491
Ca: 0.009 0.009 0.009
Li: 0.250 0.250 0.250
Mo: 0.750 0.750 0.750

Summary:
total DFT energy (no corrections)	-14.182	eV for the cell shown
energy relative to the lowest polymorph listed for this composition	76	meV per atom
calculated formation energy	0.6414	eV per atom
calculated density	2993	kg/m³
volume	102	Å³ per cell

CaTlTe2: optimized geometry, GGA-PBE.

a = 8.093 Å, b = 5.448 Å, c = 4.282 Å
α = 90.11°, β = 57.88°, γ = 122.26°
Element x y z (fractional)
Ca: 0.500 0.500 0.000
Te: 0.500 0.000 0.500
Te: 0.000 0.000 0.000
Tl: 0.000 0.500 0.500

Summary:
total DFT energy (no corrections)	-13.660	eV for the cell shown
ΔE_f (raw)	-0.752	eV per atom
calculated density	6674	kg/m³
volume	124	Å³ per cell

Ce2PrDy3Er6: optimized geometry, GGA-PBE.

a = 6.122 Å, b = 6.122 Å, c = 11.677 Å
α = 95.01°, β = 95.01°, γ = 120.00°
Each line ends with the local moment (μB).
Element x y z (fractional)
Er: 0.252 0.252 0.749  0.01
Er: 0.916 0.580 0.749  0.01
Er: 0.748 0.748 0.251  0.01
Er: 0.084 0.420 0.251  0.01
Er: 0.420 0.084 0.251  0.01
Er: 0.580 0.916 0.749  0.01
Dy: 0.834 0.166 0.500  -0.02
Dy: 0.500 0.500 0.500  -0.02
Dy: 0.166 0.834 0.500  -0.02
Ce: 0.333 0.667 0.000  0.72
Ce: 0.667 0.333 0.000  0.72
Pr: 0.000 0.000 0.000  0.00

Summary:
total DFT energy (no corrections)	-57.223	eV for the cell shown
calculated formation energy	0.0506	eV per atom
calculated density	8509	kg/m³
volume	373	Å³ per cell

Rb5AgO4: optimized geometry, GGA-PBE.

a = 4.068 Å, b = 7.819 Å, c = 8.600 Å
α = 104.09°, β = 103.68°, γ = 90.00°
Element x y z (fractional)
Rb: 0.500 0.500 0.000
Rb: 0.153 0.300 0.306
Rb: 0.158 0.867 0.316
Rb: 0.842 0.133 0.684
Rb: 0.847 0.700 0.694
O: 0.370 0.928 0.740
O: 0.999 0.244 0.998
O: 0.001 0.756 0.002
O: 0.630 0.072 0.260
Ag: 0.500 0.000 0.000

Summary:
total DFT energy (no corrections)	-33.999	eV for the cell shown
ΔE_f (raw)	-0.648	eV per atom
calculated density	3867	kg/m³
volume	257	Å³ per cell

Y6NiPd2: optimized geometry, GGA-PBE.

a = 6.587 Å, b = 7.262 Å, c = 9.991 Å
α = 90.00°, β = 90.49°, γ = 90.00°
Element x y z (fractional)
Y: 0.350 0.535 0.747
Y: 0.662 0.182 0.565
Y: 0.838 0.682 0.935
Y: 0.338 0.818 0.435
Y: 0.850 0.965 0.247
Y: 0.174 0.323 0.433
Y: 0.674 0.177 0.933
Y: 0.650 0.465 0.253
Y: 0.162 0.318 0.065
Y: 0.326 0.823 0.067
Y: 0.150 0.035 0.753
Y: 0.826 0.677 0.567
Pd: 0.941 0.384 0.756
Pd: 0.059 0.616 0.244
Pd: 0.559 0.884 0.744
Pd: 0.441 0.116 0.256
Ni: 0.500 0.500 0.000
Ni: 0.000 0.000 0.500

Summary:
total DFT energy (no corrections)	-118.289	eV for the cell shown
calculated formation energy	-0.4659	eV per atom
calculated density	5594	kg/m³
volume	478	Å³ per cell

Rb2LaICl6: optimized geometry, GGA-PBE.

a = 8.152 Å, b = 8.152 Å, c = 8.624 Å
α = 61.79°, β = 61.79°, γ = 90.00°
Each line ends with the local moment (μB).
Element x y z (fractional)
Cl: 0.215 0.215 0.571  0.00
Cl: 0.785 0.785 0.429  0.00
Cl: 0.241 0.759 0.000  0.13
Cl: 0.241 0.241 0.000  0.12
Cl: 0.759 0.241 0.000  0.13
Cl: 0.759 0.759 0.000  0.12
Rb: 0.750 0.250 0.500  0.00
Rb: 0.250 0.750 0.500  0.00
La: 0.000 0.000 0.000  0.08
I: 0.500 0.500 0.000  0.88

Summary:
total DFT energy (no corrections)	-35.090	eV for the cell shown
ΔE_f (raw)	-1.560	eV per atom
calculated density	2530	kg/m³
volume	426	Å³ per cell